Entry 1:
The following is a DFT calculation (PBE) of KBaCa2Co after structural relaxation.

abc: 5.778 5.778 6.029
angles: 90.00 90.00 90.00
Space group P4/mmm (No. 123)
Unique sites:
1 K 0.000 0.000 0.000 x1
2 Ba 0.500 0.500 0.000 x1
3 Ca 0.000 0.500 0.500 x2
4 Co 0.500 0.500 0.500 x1

Output
Energy of formation from the pure elements ... 1.1 eV per formula unit
Crystal system ... tetragonal
Magnetization ... 0.3 μB per formula unit

Entry 2:
The following is a DFT calculation (PBE) of BaCaLa2Co after structural relaxation.

abc: 5.490 5.490 6.047
angles: 90.00 90.00 90.00
Space group P4/mmm (No. 123)
Unique sites:
1 Ba 0.000 0.000 0.000 x1
2 Ca 0.500 0.500 0.000 x1
3 La 0.000 0.500 0.500 x2
4 Co 0.500 0.500 0.500 x1

Output
Energy of formation from the pure elements ... 0.0 eV per formula unit
Offset from the most stable computed form ... 0.0000 eV per atom
Crystal system ... tetragonal
Magnetization ... 0.0 μB per formula unit

Entry 3:
The following is a DFT calculation (PBE) of BaCaLa2Co after structural relaxation.

abc: 5.465 5.465 6.306
angles: 90.00 90.00 90.00
Space group P4/mmm (No. 123)
Unique sites:
1 Ba 0.000 0.000 0.000 x1
2 Ca 0.500 0.500 0.000 x1
3 La 0.000 0.500 0.500 x2
4 Co 0.000 0.000 0.500 x1

Output
Energy of formation from the pure elements ... 0.3 eV per formula unit
Offset from the most stable computed form ... 0.0589 eV per atom
Crystal system ... tetragonal
Magnetization ... 0.0 μB per formula unit

Entry 4:
The following is a DFT calculation (PBE) of BaLiCa2Co after structural relaxation.

abc: 5.532 5.532 5.835
angles: 90.00 90.00 90.00
Space group P4/mmm (No. 123)
Unique sites:
1 Ba 0.000 0.000 0.000 x1
2 Li 0.500 0.500 0.000 x1
3 Ca 0.000 0.500 0.500 x2
4 Co 0.000 0.000 0.500 x1

Output
Energy of formation from the pure elements ... 1.0 eV per formula unit
Crystal system ... tetragonal
Magnetization ... 0.2 μB per formula unit

Entry 5:
The following is a DFT calculation (PBE) of BaCaMgCo2 after structural relaxation.

abc: 4.906 4.906 5.251
angles: 90.00 90.00 90.00
Space group P4/mmm (No. 123)
Unique sites:
1 Ba 0.000 0.000 0.000 x1
2 Ca 0.500 0.500 0.000 x1
3 Mg 0.500 0.500 0.500 x1
4 Co 0.000 0.500 0.500 x2

Output
Energy of formation from the pure elements ... 4.7 eV per formula unit
Crystal system ... tetragonal
Magnetization ... 0.0 μB per formula unit

Entry 6:
The following is a DFT calculation (PBE) of BaCa2MgCo after structural relaxation.

abc: 5.486 5.486 5.336
angles: 90.00 90.00 90.00
Space group P4/mmm (No. 123)
Unique sites:
1 Ba 0.000 0.000 0.000 x1
2 Ca 0.000 0.500 0.500 x2
3 Mg 0.500 0.500 0.000 x1
4 Co 0.500 0.500 0.500 x1

Output
Energy of formation from the pure elements ... 0.7 eV per formula unit
Crystal system ... tetragonal
Magnetization ... 0.0 μB per formula unit